Entry from the Alexandria database: CrS2ClO8 after structural relaxation (PBE with a Hubbard U).

Lattice parameters (Å, degrees): 4.868 4.868 9.348 108.11 108.11 63.93
Fractional coordinates of all 12 atoms:
Cr 0.000 0.000 0.000
S 0.429 0.429 0.180
S 0.571 0.571 0.820
Cl 0.000 0.000 0.500
O 0.239 0.705 0.839
O 0.256 0.256 0.052
O 0.295 0.761 0.161
O 0.423 0.423 0.334
O 0.577 0.577 0.666
O 0.705 0.239 0.839
O 0.744 0.744 0.948
O 0.761 0.295 0.161

Properties
- E: -70.32 eV per cell